Tb2GaF | GGA-PBE | relaxed

Structure (extended XYZ):
```
4
Lattice="-1.6764 -2.9458 1.4838 1.6037 -1.8335 2.7850 -3.3251 2.6496 6.1168" Properties=species:S:1:pos:R:3 pbc="T T T"
Tb -2.6704 -1.4403 7.9628
Tb -0.7274 -0.6894 2.4228
Ga -1.6989 -1.0648 5.1928
F 0.0000 0.0000 0.0000
```

Properties
E (eV per formula unit): -19.651
Total magnetization (μB per formula unit): 0.0
E_form (uncorrected) (eV per atom): -1.37